Version A
CeFeB2 | PBE | optimized geometry

Values from the calculation:
Symmetry: No. 62

a = 5.344 Å, b = 5.949 Å, c = 5.863 Å
α = 90.00°, β = 90.00°, γ = 90.00°
Fractional coordinates of all 16 atoms:
Ce1 0.750 0.518 0.129
Ce2 0.250 0.982 0.629
Ce3 0.250 0.482 0.871
Ce4 0.750 0.018 0.371
B1 0.590 0.116 0.949
B2 0.090 0.884 0.051
B3 0.410 0.384 0.449
B4 0.590 0.616 0.551
B5 0.090 0.384 0.449
B6 0.910 0.116 0.949
B7 0.910 0.616 0.551
B8 0.410 0.884 0.051
Fe1 0.750 0.301 0.656
Fe2 0.250 0.199 0.156
Fe3 0.750 0.801 0.844
Fe4 0.250 0.699 0.344

Version B
CeFeB2 | PBE | optimized geometry

Values from the calculation:
Symmetry: No. 166

a = 3.470 Å, b = 3.470 Å, c = 5.182 Å
α = 70.44°, β = 70.44°, γ = 60.00°
Fractional coordinates of all 4 atoms:
Ce1 0.500 0.500 0.500
B1 0.691 0.691 0.926
B2 0.309 0.309 0.074
Fe1 0.000 0.000 0.000

Most stable pick: version A. Distance to second place: 23.9 kJ/mol of atoms.

Version A
CeBH | PBE | optimized geometry

Values from the calculation:
Symmetry: No. 107

a = 3.716 Å, b = 3.716 Å, c = 4.055 Å
α = 117.28°, β = 117.28°, γ = 90.00°
Fractional coordinates of all 3 atoms:
Ce1 0.946 0.946 0.892
H1 0.555 0.555 0.109
B1 0.349 0.349 0.699

Version B
CeBH | PBE | optimized geometry

Values from the calculation:
Symmetry: No. 11

a = 3.736 Å, b = 4.166 Å, c = 5.237 Å
α = 90.00°, β = 90.71°, γ = 90.00°
Fractional coordinates of all 6 atoms:
H1 0.721 0.791 0.356
H2 0.524 0.291 0.156
B1 0.458 0.791 0.515
B2 0.787 0.291 0.997
Ce1 0.912 0.291 0.509
Ce2 0.333 0.791 0.003

Version C
CeBH | PBE | optimized geometry

Values from the calculation:
Symmetry: No. 63

a = 3.910 Å, b = 3.710 Å, c = 6.235 Å
α = 72.69°, β = 90.00°, γ = 90.00°
Fractional coordinates of all 6 atoms:
Ce1 0.250 0.858 0.284
Ce2 0.750 0.142 0.716
B1 0.750 0.345 0.309
B2 0.250 0.655 0.691
H1 0.250 0.548 0.904
H2 0.750 0.452 0.096

Most stable pick: version B. Distance to second place: 8.7 kJ/mol of atoms.

Version A
CeB2H8 | PBE | optimized geometry

Values from the calculation:
Symmetry: No. 166

a = 5.986 Å, b = 4.383 Å, c = 4.383 Å
α = 60.02°, β = 68.51°, γ = 68.51°
Fractional coordinates of all 11 atoms:
H1 0.776 0.586 0.052
H2 0.479 0.840 0.840
H3 0.777 0.586 0.586
H4 0.224 0.414 0.948
H5 0.776 0.052 0.586
H6 0.224 0.948 0.414
H7 0.521 0.160 0.160
H8 0.223 0.414 0.414
Ce1 0.000 0.000 0.000
B1 0.704 0.765 0.765
B2 0.296 0.235 0.235

Version B
CeB2H8 | PBE | optimized geometry

Values from the calculation:
Symmetry: No. 12

a = 4.101 Å, b = 5.421 Å, c = 5.421 Å
α = 78.09°, β = 68.59°, γ = 68.59°
Fractional coordinates of all 11 atoms:
H1 0.357 0.995 0.292
H2 0.643 0.708 0.005
H3 0.643 0.005 0.708
H4 0.929 0.336 0.336
H5 0.071 0.664 0.664
H6 0.430 0.330 0.330
H7 0.570 0.670 0.670
H8 0.357 0.292 0.995
B1 0.263 0.243 0.243
B2 0.737 0.757 0.757
Ce1 0.000 0.000 0.000

Most stable pick: version A. Distance to second place: 5.0 kJ/mol of atoms.

Version A
CeB2Ir2 | PBE | optimized geometry

Values from the calculation:
Symmetry: No. 139

a = 3.876 Å, b = 3.876 Å, c = 5.640 Å
α = 110.10°, β = 110.10°, γ = 89.99°
Fractional coordinates of all 5 atoms:
Ir1 0.250 0.750 0.500
Ir2 0.750 0.250 0.500
B1 0.650 0.650 0.299
B2 0.350 0.350 0.701
Ce1 0.000 0.000 0.000

Version B
CeB2Ir2 | PBE | optimized geometry

Values from the calculation:
Symmetry: No. 70

a = 7.103 Å, b = 6.128 Å, c = 5.580 Å
α = 74.54°, β = 56.25°, γ = 49.21°
Fractional coordinates of all 10 atoms:
Ir1 0.120 0.120 0.380
Ir2 0.870 0.870 0.130
Ir3 0.130 0.130 0.870
Ir4 0.380 0.380 0.120
B1 0.180 0.820 0.180
B2 0.070 0.430 0.070
B3 0.820 0.180 0.820
B4 0.430 0.070 0.430
Ce1 0.750 0.750 0.750
Ce2 0.500 0.500 0.500

Most stable pick: version B. Distance to second place: 6.1 kJ/mol of atoms.

Version A
Ce3B2Ir7 | PBE | optimized geometry

Values from the calculation:
Symmetry: No. 166

a = 5.460 Å, b = 5.460 Å, c = 8.173 Å
α = 70.49°, β = 70.49°, γ = 60.00°
Fractional coordinates of all 12 atoms:
Ir1 0.566 0.071 0.797
Ir2 0.434 0.434 0.203
Ir3 0.566 0.566 0.797
Ir4 0.071 0.566 0.797
Ir5 0.929 0.434 0.203
Ir6 0.434 0.929 0.203
Ir7 0.500 0.500 0.500
Ce1 0.855 0.855 0.434
Ce2 0.000 0.000 0.000
Ce3 0.145 0.145 0.566
B1 0.333 0.333 0.002
B2 0.667 0.667 0.998

Version B
Ce3B2Ir7 | PBE | optimized geometry

Values from the calculation:
Symmetry: No. 65

a = 4.002 Å, b = 4.003 Å, c = 12.511 Å
α = 99.21°, β = 90.00°, γ = 90.00°
Fractional coordinates of all 12 atoms:
Ce1 0.500 0.500 0.000
Ce2 0.500 0.323 0.645
Ce3 0.500 0.677 0.355
Ir1 0.500 0.913 0.825
Ir2 0.000 0.000 0.000
Ir3 0.000 0.214 0.429
Ir4 0.000 0.786 0.571
Ir5 0.000 0.587 0.175
Ir6 0.000 0.413 0.825
Ir7 0.500 0.087 0.175
B1 0.000 0.873 0.746
B2 0.000 0.127 0.254

Most stable pick: version A. Distance to second place: 8.3 kJ/mol of atoms.

Version A
CeB2Ir3 | PBE | optimized geometry

Values from the calculation:
Symmetry: No. 191

a = 5.538 Å, b = 5.538 Å, c = 3.114 Å
α = 90.00°, β = 90.00°, γ = 120.00°
Fractional coordinates of all 6 atoms:
Ce1 0.000 0.000 0.000
B1 0.333 0.667 0.000
B2 0.667 0.333 0.000
Ir1 0.500 0.000 0.500
Ir2 0.000 0.500 0.500
Ir3 0.500 0.500 0.500

Version B
CeB2Ir3 | PBE | optimized geometry

Values from the calculation:
Symmetry: No. 63

a = 5.513 Å, b = 5.608 Å, c = 5.608 Å
α = 91.71°, β = 90.00°, γ = 90.00°
Fractional coordinates of all 12 atoms:
Ir1 0.250 0.968 0.968
Ir2 0.250 0.877 0.482
Ir3 0.250 0.482 0.877
Ir4 0.750 0.123 0.518
Ir5 0.750 0.518 0.123
Ir6 0.750 0.032 0.032
Ce1 0.750 0.647 0.647
Ce2 0.250 0.353 0.353
B1 0.000 0.214 0.786
B2 0.500 0.786 0.214
B3 0.000 0.786 0.214
B4 0.500 0.214 0.786

Most stable pick: version A. Distance to second place: 20.1 kJ/mol of atoms.

Version A
CeNi12B6 | PBE | optimized geometry

Values from the calculation:
Symmetry: No. 166

a = 6.034 Å, b = 6.034 Å, c = 6.034 Å
α = 104.53°, β = 104.53°, γ = 104.53°
Fractional coordinates of all 19 atoms:
Ce1 0.000 0.000 0.000
B1 0.333 0.766 0.766
B2 0.234 0.234 0.667
B3 0.234 0.667 0.234
B4 0.766 0.333 0.766
B5 0.766 0.766 0.333
B6 0.667 0.234 0.234
Ni1 0.131 0.869 0.500
Ni2 0.187 0.454 0.454
Ni3 0.546 0.546 0.813
Ni4 0.454 0.187 0.454
Ni5 0.869 0.500 0.131
Ni6 0.546 0.813 0.546
Ni7 0.454 0.454 0.187
Ni8 0.813 0.546 0.546
Ni9 0.131 0.500 0.869
Ni10 0.500 0.131 0.869
Ni11 0.869 0.131 0.500
Ni12 0.500 0.869 0.131

Version B
CeNi12B6 | PBE | optimized geometry

Values from the calculation:
Symmetry: No. 36

a = 6.049 Å, b = 6.049 Å, c = 11.012 Å
α = 90.00°, β = 90.00°, γ = 104.85°
Fractional coordinates of all 38 atoms:
Ni1 0.782 0.782 0.098
Ni2 0.528 0.789 0.276
Ni3 0.343 0.729 0.068
Ni4 0.370 0.005 0.437
Ni5 0.218 0.218 0.598
Ni6 0.121 0.854 0.255
Ni7 0.472 0.211 0.776
Ni8 0.146 0.879 0.755
Ni9 0.542 0.804 0.734
Ni10 0.657 0.271 0.568
Ni11 0.435 0.435 0.418
Ni12 0.458 0.196 0.234
Ni13 0.804 0.542 0.734
Ni14 0.565 0.565 0.918
Ni15 0.196 0.458 0.234
Ni16 0.630 0.995 0.937
Ni17 0.271 0.657 0.568
Ni18 0.879 0.146 0.755
Ni19 0.789 0.528 0.276
Ni20 0.854 0.121 0.255
Ni21 0.995 0.630 0.937
Ni22 0.005 0.370 0.437
Ni23 0.211 0.472 0.776
Ni24 0.729 0.343 0.068
B1 0.325 0.754 0.886
B2 0.986 0.399 0.622
B3 0.601 0.014 0.122
B4 0.754 0.325 0.886
B5 0.486 0.486 0.657
B6 0.514 0.514 0.157
B7 0.675 0.246 0.386
B8 0.836 0.836 0.836
B9 0.246 0.675 0.386
B10 0.399 0.986 0.622
B11 0.164 0.164 0.336
B12 0.014 0.601 0.122
Ce1 0.832 0.832 0.497
Ce2 0.168 0.168 0.997

Most stable pick: version B. Distance to second place: 0.5 kJ/mol of atoms.

Version A
CeNi4B4 | PBE | optimized geometry

Values from the calculation:
Symmetry: No. 137

a = 5.076 Å, b = 5.076 Å, c = 7.149 Å
α = 90.00°, β = 90.00°, γ = 90.00°
Fractional coordinates of all 18 atoms:
Ni1 0.000 0.749 0.365
Ni2 0.500 0.751 0.135
Ni3 0.749 0.000 0.635
Ni4 0.249 0.500 0.865
Ni5 0.500 0.249 0.135
Ni6 0.251 0.000 0.635
Ni7 0.751 0.500 0.865
Ni8 0.000 0.251 0.365
B1 0.669 0.000 0.340
B2 0.169 0.500 0.160
B3 0.331 0.000 0.340
B4 0.000 0.331 0.660
B5 0.831 0.500 0.160
B6 0.500 0.831 0.840
B7 0.500 0.169 0.840
B8 0.000 0.669 0.660
Ce1 0.000 0.000 0.000
Ce2 0.500 0.500 0.500

Version B
CeNi4B4 | PBE | optimized geometry

Values from the calculation:
Symmetry: No. 86

a = 3.741 Å, b = 7.208 Å, c = 7.208 Å
α = 90.00°, β = 90.00°, γ = 90.00°
Fractional coordinates of all 18 atoms:
B1 0.401 0.709 0.832
B2 0.099 0.209 0.332
B3 0.901 0.332 0.791
B4 0.901 0.668 0.209
B5 0.599 0.168 0.709
B6 0.401 0.291 0.168
B7 0.099 0.791 0.668
B8 0.599 0.832 0.291
Ni1 0.099 0.147 0.603
Ni2 0.401 0.353 0.897
Ni3 0.901 0.397 0.147
Ni4 0.401 0.647 0.103
Ni5 0.099 0.853 0.397
Ni6 0.599 0.897 0.647
Ni7 0.901 0.603 0.853
Ni8 0.599 0.103 0.353
Ce1 0.500 0.500 0.500
Ce2 0.000 0.000 0.000

Most stable pick: version A. Distance to second place: 1.6 kJ/mol of atoms.

Version A
CeNiB4 | PBE | optimized geometry

Values from the calculation:
Symmetry: No. 139

a = 6.888 Å, b = 6.888 Å, c = 6.888 Å
α = 112.86°, β = 112.86°, γ = 102.90°
Fractional coordinates of all 24 atoms:
B1 0.274 0.889 0.163
B2 0.113 0.113 0.531
B3 0.889 0.726 0.614
B4 0.274 0.111 0.386
B5 0.887 0.887 0.469
B6 0.418 0.418 0.531
B7 0.111 0.726 0.837
B8 0.582 0.113 0.000
B9 0.726 0.889 0.614
B10 0.582 0.582 0.469
B11 0.726 0.111 0.837
B12 0.418 0.887 0.000
B13 0.111 0.274 0.386
B14 0.887 0.418 0.000
B15 0.113 0.582 0.000
B16 0.889 0.274 0.163
Ce1 0.201 0.201 0.000
Ce2 0.799 0.799 0.000
Ce3 0.750 0.250 0.500
Ce4 0.250 0.750 0.500
Ni1 0.728 0.500 0.228
Ni2 0.500 0.272 0.772
Ni3 0.272 0.500 0.772
Ni4 0.500 0.728 0.228

Version B
CeNiB4 | PBE | optimized geometry

Values from the calculation:
Symmetry: No. 65

a = 3.500 Å, b = 5.970 Å, c = 5.970 Å
α = 104.14°, β = 90.00°, γ = 90.00°
Fractional coordinates of all 12 atoms:
B1 0.500 0.628 0.628
B2 0.500 0.931 0.622
B3 0.500 0.069 0.378
B4 0.500 0.622 0.931
B5 0.500 0.372 0.372
B6 0.500 0.378 0.069
B7 0.500 0.909 0.091
B8 0.500 0.091 0.909
Ni1 0.000 0.175 0.175
Ni2 0.000 0.825 0.825
Ce1 0.000 0.700 0.300
Ce2 0.000 0.300 0.700

Most stable pick: version A. Distance to second place: 10.1 kJ/mol of atoms.